! Pm6SnAu2 (PBE, relaxed); values from VASP
&SYSTEM
  ibrav = 0, nat = 18, ntyp = 3
/
ATOMIC_SPECIES
Pm 145.00 Pm.upf
Sn 118.71 Sn.upf
Au 196.97 Au.upf
ATOMIC_POSITIONS crystal
Pm 0.040 0.234 0.806
Pm 0.186 0.289 0.475
Pm 0.186 0.711 0.897
Pm 0.329 0.028 0.699
Pm 0.329 0.630 0.301
Pm 0.428 0.234 0.194
Pm 0.572 0.766 0.806
Pm 0.671 0.370 0.699
Pm 0.671 0.972 0.301
Pm 0.814 0.289 0.103
Pm 0.814 0.711 0.525
Pm 0.960 0.766 0.194
Sn 0.000 0.000 0.000
Sn 0.500 0.500 0.000
Au 0.129 0.629 0.500
Au 0.342 0.000 0.342
Au 0.658 0.000 0.658
Au 0.871 0.371 0.500
CELL_PARAMETERS angstrom
-4.755 5.109 5.596
4.755 -5.109 5.596
4.755 5.109 -5.596
! DFT formation energy ... -0.510 eV per atom
! N(E_F) ... 19.71 states/eV/cell